Entry 1:
## Y2ZnRu (PBE)

Data for a geometry-optimized Y2ZnRu structure.

Calculated values
* ρ: 6745 kg/m³
* calculated formation energy: -0.341 eV/atom
* raw total energy: -0.456 Ry/atom

Unit cell a=4.9051 b=4.9051 c=3.5228 alpha=90.00 beta=90.00 gamma=90.00
Closest atoms and distances in Å follow each position.
Space group P4/mmm (No. 123)
Symmetry-distinct sites (fractional):
Y1 0.0000 0.5000 0.0000 x2  4 Ru 3.02, 4 Zn 3.02
Zn1 0.0000 0.0000 0.5000 x1  8 Y 3.02
Ru1 0.5000 0.5000 0.5000 x1  8 Y 3.02

Entry 2:
## YMnC2 (PBE)

Data for a geometry-optimized YMnC2 structure.

Calculated values
* ρ: 5712 kg/m³
* calculated formation energy: -0.265 eV/atom
* raw total energy: -0.646 Ry/atom

Unit cell a=4.2759 b=9.3592 c=4.8780 alpha=90.00 beta=90.00 gamma=90.00
Closest atoms and distances in Å follow each position.
Space group Cmcm (No. 63)
Symmetry-distinct sites (fractional):
Y1 0.0000 0.1825 0.2500 x4  8 C 2.58-2.70
Mn1 0.0000 0.5000 0.0000 x4  4 C 2.04
C1 0.1652 0.0831 0.7500 x8  1 C 1.41

Entry 3:
## VFeB (PBE)

Data for a geometry-optimized VFeB structure.

Calculated values
* ρ: 6796 kg/m³
* calculated formation energy: -0.218 eV/atom
* polymorph energy (0 for the lowest one): 33.7 kJ/mol of atoms
* raw total energy: -0.610 Ry/atom

Unit cell a=2.5995 b=2.5995 c=8.5038 alpha=90.00 beta=90.00 gamma=90.00
Closest atoms and distances in Å follow each position.
Space group I4mm (No. 107)
Symmetry-distinct sites (fractional):
V1 0.0000 0.0000 0.0000 x2  4 B 2.38, 5 Fe 2.46-2.57, 4 V 2.60
Fe1 0.0000 0.0000 0.2890 x2  4 B 2.07
B1 0.0000 0.0000 0.6778 x2  4 Fe 2.07

Entry 4:
## RbCu3Ag4F12 (PBE)

Data for a geometry-optimized RbCu3Ag4F12 structure.

Calculated values
* ρ: 5052 kg/m³
* raw total energy: -0.280 Ry/atom

Unit cell a=8.5042 b=8.5042 c=8.5042 alpha=90.00 beta=90.00 gamma=90.00
Closest atoms and distances in Å follow each position.
Space group Im-3 (No. 204)
Symmetry-distinct sites (fractional):
Rb1 0.0000 0.0000 0.0000 x2  12 F 3.16
Cu1 0.0000 0.0000 0.5000 x6  4 F 1.92
Ag1 0.2500 0.2500 0.2500 x8  6 F 2.39
F1 0.0000 0.3367 0.1559 x24  1 Cu 1.92

Entry 5:
## LiSmHfTc (PBE)

Data for a geometry-optimized LiSmHfTc structure.

Calculated values
* ρ: 9128 kg/m³
* calculated formation energy: -0.033 eV/atom
* raw total energy: -0.498 Ry/atom

Unit cell a=6.8088 b=6.8088 c=6.8088 alpha=90.00 beta=90.00 gamma=90.00
Closest atoms and distances in Å follow each position.
Space group F-43m (No. 216)
Symmetry-distinct sites (fractional):
Li1 0.0000 0.0000 0.0000 x4  4 Sm 2.95, 4 Hf 2.95
Sm1 0.2500 0.2500 0.2500 x4  4 Li 2.95, 4 Tc 2.95
Hf1 0.2500 0.2500 0.7500 x4  4 Li 2.95, 4 Tc 2.95
Tc1 0.0000 0.0000 0.5000 x4  4 Hf 2.95, 4 Sm 2.95

Entry 6:
## YAlP2 (PBE)

Data for a geometry-optimized YAlP2 structure.

Calculated values
* ρ: 3824 kg/m³
* calculated formation energy: -0.567 eV/atom
* raw total energy: -0.428 Ry/atom

Unit cell a=3.8114 b=5.5945 c=7.2431 alpha=90.00 beta=90.00 gamma=90.00
Closest atoms and distances in Å follow each position.
Space group Immm (No. 71)
Symmetry-distinct sites (fractional):
Y1 0.0000 0.0000 0.0000 x2  4 P 2.84
Al1 0.0000 0.0000 0.5000 x2  4 P 2.44
P1 0.0000 0.5000 0.2095 x4  2 Al 2.44

Entry 7:
## PrMg2Ga2Ni (PBE)

Data for a geometry-optimized PrMg2Ga2Ni structure.

Calculated values
* ρ: 4547 kg/m³
* calculated formation energy: 0.088 eV/atom
* raw total energy: -0.236 Ry/atom

Unit cell a=5.0544 b=5.0544 c=11.0834 alpha=90.00 beta=90.00 gamma=90.00
Closest atoms and distances in Å follow each position.
Space group I4/mmm (No. 139)
Symmetry-distinct sites (fractional):
Pr1 0.0000 0.0000 0.0000 x2  2 Ga 3.31, 4 Ni 3.57
Mg1 0.0000 0.5000 0.2500 x4  4 Ga 2.58
Ga1 0.0000 0.0000 0.2982 x4  1 Ni 2.24
Ni1 0.0000 0.0000 0.5000 x2  2 Ga 2.24

Entry 8:
## CsTlOs2O8 (PBE)

Data for a geometry-optimized CsTlOs2O8 structure.

Calculated values
* ρ: 4472 kg/m³
* raw total energy: -0.481 Ry/atom

Unit cell a=6.2905 b=6.2905 c=9.1630 alpha=90.00 beta=90.00 gamma=120.00
Closest atoms and distances in Å follow each position.
Space group P-3 (No. 147)
Symmetry-distinct sites (fractional):
Cs1 0.0000 0.0000 0.0000 x1  6 O 3.22
Tl1 0.0000 0.0000 0.5000 x1  6 O 2.82
Os1 0.3333 0.6667 0.7838 x2  4 O 1.76-1.77
O1 0.1716 0.3597 0.7214 x6  1 Os 1.77
O2 0.3333 0.6667 0.9763 x2  1 Os 1.76

Please write out number 8 again, unchanged.
## CsTlOs2O8 (PBE)

Data for a geometry-optimized CsTlOs2O8 structure.

Calculated values
* ρ: 4472 kg/m³
* raw total energy: -0.481 Ry/atom

Unit cell a=6.2905 b=6.2905 c=9.1630 alpha=90.00 beta=90.00 gamma=120.00
Closest atoms and distances in Å follow each position.
Space group P-3 (No. 147)
Symmetry-distinct sites (fractional):
Cs1 0.0000 0.0000 0.0000 x1  6 O 3.22
Tl1 0.0000 0.0000 0.5000 x1  6 O 2.82
Os1 0.3333 0.6667 0.7838 x2  4 O 1.76-1.77
O1 0.1716 0.3597 0.7214 x6  1 Os 1.77
O2 0.3333 0.6667 0.9763 x2  1 Os 1.76

Which value of ρ does entry 2 give? 5712 kg/m³

What is the raw total energy in the fourth record? -0.280 Ry/atom